# Pr8Al2Co, relaxed, DFT PBE
# Energy of formation from the pure elements ... -0.104 eV per atom
data_Pr8Al2Co
_chemical_formula_sum 'Pr16 Al4 Co2'
_space_group_name_H-M_alt 'C 1 2/m 1'
_space_group_IT_number 12
_space_group_name_Hall '-C 2y'
_cell_length_a 18.6498
_cell_length_b 5.2031
_cell_length_c 6.9359
_cell_angle_alpha 90.00
_cell_angle_beta 103.33
_cell_angle_gamma 90.00
loop_
_atom_site_label
_atom_site_fract_x
_atom_site_fract_y
_atom_site_fract_z
Pr1 0.0177 0.0000 0.2818
Pr2 0.0925 0.5000 0.9473
Pr3 0.1482 0.5000 0.4634
Pr4 0.2083 0.0000 0.7917
Al1 0.1864 0.0000 0.2360
Co1 0.0000 0.5000 0.5000